! K2AsW, relaxed, DFT GGA-PBE; values from VASP
! Energy relative to the elements   1.158 eV/atom
&SYSTEM
  ibrav = 0, nat = 4, ntyp = 3
/
ATOMIC_SPECIES
K 39.10 K.upf
As 74.92 As.upf
W 183.84 W.upf
CELL_PARAMETERS angstrom
0.000 3.784 3.784
3.784 0.000 3.784
3.784 3.784 0.000
ATOMIC_POSITIONS crystal
K 0.000 0.000 0.000
K 0.250 0.250 0.250
As 0.750 0.750 0.750
W 0.500 0.500 0.500

=====

! KAs3W, relaxed, DFT GGA-PBE; values from VASP
! Energy relative to the elements   2.610 eV/atom
! E above lowest polymorph   2515 meV per atom
&SYSTEM
  ibrav = 0, nat = 5, ntyp = 3
/
ATOMIC_SPECIES
K 39.10 K.upf
As 74.92 As.upf
W 183.84 W.upf
CELL_PARAMETERS angstrom
5.023 0.000 0.000
0.000 5.023 0.000
0.000 0.000 5.023
ATOMIC_POSITIONS crystal
K 0.000 0.000 0.000
As 0.000 0.000 0.500
As 0.000 0.500 0.000
As 0.500 0.000 0.000
W 0.500 0.500 0.500

=====

! K3AsW, relaxed, DFT GGA-PBE; values from VASP
! Energy relative to the elements   1.247 eV/atom
! E above lowest polymorph   0 meV per atom
&SYSTEM
  ibrav = 0, nat = 5, ntyp = 3
/
ATOMIC_SPECIES
K 39.10 K.upf
As 74.92 As.upf
W 183.84 W.upf
CELL_PARAMETERS angstrom
6.321 0.000 0.000
0.000 6.321 0.000
0.000 0.000 6.321
ATOMIC_POSITIONS crystal
K 0.000 0.000 0.500
K 0.000 0.500 0.000
K 0.500 0.000 0.000
As 0.000 0.000 0.000
W 0.500 0.500 0.500

=====

! K2AsW, relaxed, DFT GGA-PBE; values from VASP
! Energy relative to the elements   1.195 eV/atom
&SYSTEM
  ibrav = 0, nat = 8, ntyp = 3
/
ATOMIC_SPECIES
K 39.10 K.upf
As 74.92 As.upf
W 183.84 W.upf
CELL_PARAMETERS angstrom
-1.957 1.957 12.082
1.957 -1.957 12.082
1.957 1.957 -12.082
ATOMIC_POSITIONS crystal
K 0.120 0.625 0.995
K 0.375 0.370 0.495
K 0.630 0.125 0.005
K 0.875 0.880 0.505
As 0.000 0.000 0.000
As 0.750 0.250 0.500
W 0.250 0.750 0.500
W 0.500 0.500 0.000

=====

! K2AsW, relaxed, DFT GGA-PBE; values from VASP
! Energy relative to the elements   0.992 eV/atom
&SYSTEM
  ibrav = 0, nat = 4, ntyp = 3
/
ATOMIC_SPECIES
K 39.10 K.upf
As 74.92 As.upf
W 183.84 W.upf
CELL_PARAMETERS angstrom
2.736 -5.731 0.000
2.736 5.731 0.000
0.000 0.000 2.949
ATOMIC_POSITIONS crystal
K 0.000 0.500 0.000
K 0.500 0.000 0.000
As 0.000 0.000 0.500
W 0.500 0.500 0.500

=====

! K2AsW, relaxed, DFT GGA-PBE; values from VASP
! Energy relative to the elements   0.894 eV/atom
&SYSTEM
  ibrav = 0, nat = 4, ntyp = 3
/
ATOMIC_SPECIES
K 39.10 K.upf
As 74.92 As.upf
W 183.84 W.upf
CELL_PARAMETERS angstrom
2.007 -2.033 0.000
2.007 2.033 0.000
0.000 0.000 11.478
ATOMIC_POSITIONS crystal
K 0.000 0.000 0.231
K 0.000 0.000 0.769
As 0.500 0.500 0.000
W 0.500 0.500 0.500

=====

! K2AsW, relaxed, DFT GGA-PBE; values from VASP
! Energy relative to the elements   0.686 eV/atom
&SYSTEM
  ibrav = 0, nat = 4, ntyp = 3
/
ATOMIC_SPECIES
K 39.10 K.upf
As 74.92 As.upf
W 183.84 W.upf
CELL_PARAMETERS angstrom
-2.102 2.989 5.517
2.102 -2.989 5.517
2.102 2.989 -5.517
ATOMIC_POSITIONS crystal
K 0.000 0.000 0.000
K 0.695 0.195 0.500
As 0.419 0.419 0.000
W 0.309 0.809 0.500

=====

! K2AsW, relaxed, DFT GGA-PBE; values from VASP
! Energy relative to the elements   0.503 eV/atom
&SYSTEM
  ibrav = 0, nat = 4, ntyp = 3
/
ATOMIC_SPECIES
K 39.10 K.upf
As 74.92 As.upf
W 183.84 W.upf
CELL_PARAMETERS angstrom
3.710 -2.139 0.000
3.710 2.139 0.000
-2.228 0.000 9.659
ATOMIC_POSITIONS crystal
K 0.000 0.000 0.000
K 0.165 0.165 0.551
As 0.749 0.749 0.275
W 0.416 0.416 0.275

=====

! KAsW4, relaxed, DFT GGA-PBE; values from VASP
! Energy relative to the elements   1.300 eV/atom
&SYSTEM
  ibrav = 0, nat = 6, ntyp = 3
/
ATOMIC_SPECIES
K 39.10 K.upf
As 74.92 As.upf
W 183.84 W.upf
CELL_PARAMETERS angstrom
0.000 3.880 3.880
3.880 0.000 3.880
3.880 3.880 0.000
ATOMIC_POSITIONS crystal
K 0.000 0.000 0.000
As 0.250 0.250 0.250
W 0.116 0.628 0.628
W 0.628 0.116 0.628
W 0.628 0.628 0.116
W 0.628 0.628 0.628

=====

! K2AsW, relaxed, DFT GGA-PBE; values from VASP
! Energy relative to the elements   1.001 eV/atom
&SYSTEM
  ibrav = 0, nat = 4, ntyp = 3
/
ATOMIC_SPECIES
K 39.10 K.upf
As 74.92 As.upf
W 183.84 W.upf
CELL_PARAMETERS angstrom
2.969 0.000 0.000
0.000 5.453 0.000
0.000 0.000 5.757
ATOMIC_POSITIONS crystal
K 0.000 0.248 0.000
K 0.000 0.752 0.000
As 0.500 0.000 0.500
W 0.500 0.500 0.500

=====

! K2AsW, relaxed, DFT GGA-PBE; values from VASP
! Energy relative to the elements   0.618 eV/atom
&SYSTEM
  ibrav = 0, nat = 4, ntyp = 3
/
ATOMIC_SPECIES
K 39.10 K.upf
As 74.92 As.upf
W 183.84 W.upf
CELL_PARAMETERS angstrom
1.707 0.986 11.316
-1.707 0.986 11.316
0.000 -1.972 11.316
ATOMIC_POSITIONS crystal
K 0.000 0.000 0.000
K 0.209 0.209 0.209
As 0.468 0.468 0.468
W 0.754 0.754 0.754

=====

! K2AsW, relaxed, DFT GGA-PBE; values from VASP
! Energy relative to the elements   1.075 eV/atom
&SYSTEM
  ibrav = 0, nat = 4, ntyp = 3
/
ATOMIC_SPECIES
K 39.10 K.upf
As 74.92 As.upf
W 183.84 W.upf
CELL_PARAMETERS angstrom
-2.078 2.093 5.615
2.078 -2.093 5.615
2.078 2.093 -5.615
ATOMIC_POSITIONS crystal
K 0.248 0.248 0.000
K 0.752 0.752 0.000
As 0.000 0.500 0.500
W 0.500 0.000 0.500

=====

! K2AsW, relaxed, DFT GGA-PBE; values from VASP
! Energy relative to the elements   0.547 eV/atom
&SYSTEM
  ibrav = 0, nat = 4, ntyp = 3
/
ATOMIC_SPECIES
K 39.10 K.upf
As 74.92 As.upf
W 183.84 W.upf
CELL_PARAMETERS angstrom
10.413 -1.612 0.000
10.413 1.612 0.000
-0.724 0.000 3.902
ATOMIC_POSITIONS crystal
K 0.147 0.147 0.140
K 0.853 0.853 0.860
As 0.500 0.500 0.000
W 0.000 0.000 0.500

=====

! KAs4W, relaxed, DFT GGA-PBE; values from VASP
! Energy relative to the elements   0.866 eV/atom
&SYSTEM
  ibrav = 0, nat = 6, ntyp = 3
/
ATOMIC_SPECIES
K 39.10 K.upf
As 74.92 As.upf
W 183.84 W.upf
CELL_PARAMETERS angstrom
0.000 4.009 4.009
4.009 0.000 4.009
4.009 4.009 0.000
ATOMIC_POSITIONS crystal
K 0.000 0.000 0.000
As 0.377 0.377 0.377
As 0.377 0.377 0.870
As 0.377 0.870 0.377
As 0.870 0.377 0.377
W 0.750 0.750 0.750